VASP calculation (PBE) on a relaxed ZrMnTl2Ni crystal.

Output
The calculation puts the size of the total moment at 1.48 μB per cell. As for the total energy: -24.38 eV for the cell shown.

Geometry as extended XYZ:
```
5
Lattice="5.0462 0.0000 0.0000 0.0000 5.0462 0.0000 0.0000 0.0000 4.6039" Properties=species:S:1:pos:R:3 pbc="T T T"
Zr 0.0000 0.0000 0.0000
Mn 0.0000 0.0000 2.3019
Tl 0.0000 2.5231 2.3019
Tl 2.5231 0.0000 2.3019
Ni 2.5231 2.5231 0.0000
```